VASP calculation (GGA+U) on a relaxed Li4Fe2Co3Cu3O16 crystal.

Cell and atoms, written as POSCAR:
```
Li4Fe2Co3Cu3O16
1.0
2.8807 5.0509 -0.0143
-2.8807 5.0509 -0.0143
0.0000 0.2745 9.3969
Li Fe Co Cu O
4 2 3 3 16
Direct
0.6673 0.6673 0.8900
0.9961 0.9961 0.9984
0.0013 0.0013 0.4967
0.3371 0.3371 0.3907
0.6664 0.6664 0.4907
0.3290 0.3290 0.9921
0.8294 0.8294 0.2135
0.1702 0.6629 0.7133
0.6629 0.1702 0.7133
0.3374 0.8305 0.2141
0.8305 0.3374 0.2141
0.1699 0.1699 0.7147
0.3240 0.8285 0.6026
0.5208 0.5208 0.3405
0.6722 0.6722 0.1092
0.9925 0.9925 0.3067
0.9945 0.9945 0.8086
0.8285 0.3240 0.6026
0.5296 0.9660 0.3387
0.9660 0.5296 0.3387
0.1589 0.1589 0.0963
0.8409 0.8409 0.6099
0.0380 0.4946 0.8351
0.4946 0.0380 0.8351
0.3408 0.3408 0.6093
0.1500 0.6682 0.1028
0.4816 0.4816 0.8277
0.6682 0.1500 0.1028
```

Output
E, eV per atom: -5.543
Symmetry: Cm